This record from Alexandria describes a relaxed AcGaSbRh3 crystal. The functional is PBE.

Summary:
ΔE_f (raw): -0.590 eV/atom
DOS at the Fermi energy: 0.22 states/eV per atom
symmetry: Cmcm

abc: 8.397 8.397 5.920
angles: 90.00 90.00 138.67
Element x y z (fractional)
Ac 0.236 0.764 0.750
Ac 0.764 0.236 0.250
Ga 0.092 0.908 0.250
Ga 0.908 0.092 0.750
Sb 0.412 0.588 0.250
Sb 0.588 0.412 0.750
Rh 0.236 0.236 0.000
Rh 0.236 0.236 0.500
Rh 0.249 0.751 0.250
Rh 0.751 0.249 0.750
Rh 0.764 0.764 0.000
Rh 0.764 0.764 0.500



This record from Alexandria describes a relaxed Er6Zn5Sn crystal. The functional is PBE.

Summary:
DOS at the Fermi energy: 0.85 states/eV per atom
energy relative to the elements: -0.40 eV/atom
symmetry: Immm

abc: 8.764 8.764 8.764
angles: 146.53 131.95 59.82
Element x y z (fractional)
Er 0.075 0.330 0.745
Er 0.240 0.000 0.240
Er 0.415 0.670 0.745
Er 0.585 0.330 0.255
Er 0.760 0.000 0.760
Er 0.925 0.670 0.255
Zn 0.000 0.500 0.500
Zn 0.168 0.168 0.000
Zn 0.330 0.830 0.500
Zn 0.670 0.170 0.500
Zn 0.832 0.832 0.000
Sn 0.500 0.500 0.000



Please write out number 1 again, unchanged.
This record from Alexandria describes a relaxed AcGaSbRh3 crystal. The functional is PBE.

Summary:
ΔE_f (raw): -0.590 eV/atom
DOS at the Fermi energy: 0.22 states/eV per atom
symmetry: Cmcm

abc: 8.397 8.397 5.920
angles: 90.00 90.00 138.67
Element x y z (fractional)
Ac 0.236 0.764 0.750
Ac 0.764 0.236 0.250
Ga 0.092 0.908 0.250
Ga 0.908 0.092 0.750
Sb 0.412 0.588 0.250
Sb 0.588 0.412 0.750
Rh 0.236 0.236 0.000
Rh 0.236 0.236 0.500
Rh 0.249 0.751 0.250
Rh 0.751 0.249 0.750
Rh 0.764 0.764 0.000
Rh 0.764 0.764 0.500